1.
This record from the Alexandria database describes Cs2CN2 at its PBEsol-relaxed geometry. The functional is meta-GGA SCAN.

Cell and atoms, written as POSCAR:
```
Cs2CN2
1.0
-0.221 5.302 2.444
-5.073 0.267 2.885
4.573 -3.427 11.217
N Cs C
6 6 3
Cartesian
-1.028 0.818 5.989
2.248 -2.192 7.953
3.601 -1.669 12.514
0.306 1.324 10.558
-2.970 4.334 8.593
-4.323 3.811 4.032
-3.043 0.787 3.292
3.305 0.084 9.663
-0.749 -0.951 8.847
0.027 3.093 7.699
-4.027 2.058 6.883
2.321 1.355 13.254
1.166 2.217 10.478
-1.888 -0.075 6.069
-0.111 2.651 1.222
```

Computed properties:
**Symmetry**: P-1, No. 2
**Energy relative to the elements, uncorrected**: -0.582 eV per atom
**Uncorrected energy**: -21.442 eV per atom

2.
This record from the Alexandria database describes AgPt2Au at its PBEsol-relaxed geometry. The functional is meta-GGA SCAN.

Cell and atoms, written as POSCAR:
```
AgPt2Au
1.0
-2.708 -0.467 0.387
-0.910 -0.940 2.448
-2.306 8.391 3.937
Ag Pt Au
1 2 1
Cartesian
-2.962 3.492 3.386
-1.483 1.764 1.699
-4.441 5.220 5.073
0.000 0.000 0.000
```

Computed properties:
**Polymorph energy (0 for the lowest one)**: 4 meV per atom
**Symmetry**: R-3m, No. 166
**Uncorrected energy**: -60.224 eV per atom

Which formula does entry 1 have?
Cs2CN2